Entry 1:
! ZrBe2Al, optimized geometry, DFT PBE; values from VASP
! * final energy: -19.56 eV per cell
! * symmetry: No. 47
! * D(E_F): 2.7 states/eV/f.u.
&SYSTEM
  ibrav = 0, nat = 4, ntyp = 3
/
ATOMIC_SPECIES
Zr 91.22 Zr.upf
Be 9.01 Be.upf
Al 26.98 Al.upf
CELL_PARAMETERS angstrom
3.006 0.000 0.000
0.000 4.011 0.000
0.000 0.000 5.107
ATOMIC_POSITIONS crystal
Zr 0.000 0.000 0.000
Be 0.500 0.500 0.222
Be 0.500 0.500 0.778
Al 0.500 0.000 0.500

Entry 2:
! ZrBeAl3, optimized geometry, DFT PBE; values from VASP
! * symmetry: No. 221
! * D(E_F): 4.5 states/eV/f.u.
! * offset from the most stable computed form: 1677 meV/atom
&SYSTEM
  ibrav = 0, nat = 5, ntyp = 3
/
ATOMIC_SPECIES
Zr 91.22 Zr.upf
Be 9.01 Be.upf
Al 26.98 Al.upf
CELL_PARAMETERS angstrom
5.210 0.000 0.000
0.000 5.210 0.000
0.000 0.000 5.210
ATOMIC_POSITIONS crystal
Zr 0.000 0.000 0.000
Be 0.500 0.500 0.500
Al 0.000 0.000 0.500
Al 0.000 0.500 0.000
Al 0.500 0.000 0.000

Entry 3:
! ZrBe2Al, optimized geometry, DFT PBE; values from VASP
! * final energy: -19.08 eV per cell
! * symmetry: No. 12
! * D(E_F): 0.7 states/eV/f.u.
&SYSTEM
  ibrav = 0, nat = 4, ntyp = 3
/
ATOMIC_SPECIES
Zr 91.22 Zr.upf
Be 9.01 Be.upf
Al 26.98 Al.upf
CELL_PARAMETERS angstrom
2.774 -4.256 0.000
2.774 4.256 0.000
-0.832 0.000 2.491
ATOMIC_POSITIONS crystal
Zr 0.000 0.000 0.000
Be 0.000 0.500 0.500
Be 0.500 0.000 0.500
Al 0.500 0.500 0.000

Entry 4:
! ZrBe2Al, optimized geometry, DFT PBE; values from VASP
! * final energy: -20.43 eV per cell
! * symmetry: No. 166
! * D(E_F): 2.9 states/eV/f.u.
&SYSTEM
  ibrav = 0, nat = 4, ntyp = 3
/
ATOMIC_SPECIES
Zr 91.22 Zr.upf
Be 9.01 Be.upf
Al 26.98 Al.upf
CELL_PARAMETERS angstrom
1.916 1.106 4.456
-1.916 1.106 4.456
0.000 -2.212 4.456
ATOMIC_POSITIONS crystal
Zr 0.000 0.000 0.000
Be 0.207 0.207 0.207
Be 0.793 0.793 0.793
Al 0.500 0.500 0.500

Entry 5:
! ZrBe3Al, optimized geometry, DFT PBE; values from VASP
! * symmetry: No. 221
! * D(E_F): 1.9 states/eV/f.u.
! * offset from the most stable computed form: 0 meV/atom
&SYSTEM
  ibrav = 0, nat = 5, ntyp = 3
/
ATOMIC_SPECIES
Zr 91.22 Zr.upf
Be 9.01 Be.upf
Al 26.98 Al.upf
CELL_PARAMETERS angstrom
4.157 0.000 0.000
0.000 4.157 0.000
0.000 0.000 4.157
ATOMIC_POSITIONS crystal
Zr 0.000 0.000 0.000
Be 0.000 0.500 0.500
Be 0.500 0.000 0.500
Be 0.500 0.500 0.000
Al 0.500 0.500 0.500

Entry 6:
! ZrBe5Al, optimized geometry, DFT PBE; values from VASP
! * final energy: -129.53 eV per cell
! * symmetry: No. 62
! * D(E_F): 2.7 states/eV/f.u.
&SYSTEM
  ibrav = 0, nat = 28, ntyp = 3
/
ATOMIC_SPECIES
Zr 91.22 Zr.upf
Be 9.01 Be.upf
Al 26.98 Al.upf
CELL_PARAMETERS angstrom
7.431 0.000 0.000
0.000 4.342 0.000
0.000 0.000 9.566
ATOMIC_POSITIONS crystal
Zr 0.221 0.250 0.059
Zr 0.279 0.750 0.559
Zr 0.721 0.250 0.441
Zr 0.779 0.750 0.941
Be 0.035 0.750 0.129
Be 0.058 0.000 0.318
Be 0.058 0.500 0.318
Be 0.065 0.250 0.514
Be 0.205 0.250 0.733
Be 0.295 0.750 0.233
Be 0.435 0.750 0.014
Be 0.442 0.000 0.818
Be 0.442 0.500 0.818
Be 0.465 0.250 0.629
Be 0.535 0.750 0.371
Be 0.558 0.000 0.182
Be 0.558 0.500 0.182
Be 0.565 0.250 0.986
Be 0.705 0.250 0.767
Be 0.795 0.750 0.267
Be 0.935 0.750 0.486
Be 0.942 0.000 0.682
Be 0.942 0.500 0.682
Be 0.965 0.250 0.871
Al 0.146 0.750 0.855
Al 0.354 0.250 0.355
Al 0.646 0.750 0.645
Al 0.854 0.250 0.145

Which calculated volume belongs to each record? In order, 15.392, 28.279, 14.702, 14.165, 14.372, 11.023 Å³ per atom.